1.
Below is crystalline ZrInAg2S4 at its relaxed geometry, with properties calculated at the PBE level.

It has space group I-4 (No. 82), with a = 5.863 Å, b = 5.863 Å, c = 12.046 Å, α = 90.00°, β = 90.00° and γ = 90.00°. The distinct sites, in fractional coordinates, are Zr at (0.000, 0.000, 0.000), In at (0.000, 0.500, 0.250), Ag at (0.000, 0.000, 0.500), Ag at (0.000, 0.500, 0.750) and S at (0.236, 0.758, 0.881).



2.
Below is crystalline Hf2FePd at its relaxed geometry, with properties calculated at the PBE level.

It has space group F-43m (No. 216), with a = 6.407 Å, b = 6.407 Å, c = 6.407 Å, α = 90.00°, β = 90.00° and γ = 90.00°. The distinct sites, in fractional coordinates, are Hf at (0.000, 0.000, 0.000), Hf at (0.250, 0.250, 0.250), Fe at (0.250, 0.250, 0.750) and Pd at (0.000, 0.000, 0.500).

For the calculated formation energy, the calculation gives -36.2 kJ/mol of formula units.



3.
Below is crystalline Nd2SiPdI2 at its relaxed geometry, with properties calculated at the PBE level.

It has space group P3m1 (No. 156), with a = 4.3272 Å, b = 4.3272 Å, c = 11.9266 Å, α = 90.00°, β = 90.00° and γ = 120.00°. The distinct sites, in fractional coordinates, are Nd at (0.0000, 0.0000, 0.0000), Nd at (0.0000, 0.0000, 0.3139), Si at (0.6667, 0.3333, 0.1637), Pd at (0.3333, 0.6667, 0.1500), I at (0.3333, 0.6667, 0.4881) and I at (0.6667, 0.3333, 0.8205).



4.
Below is crystalline Er2Tm2O5 at its relaxed geometry, with properties calculated at the PBE level.

It has space group P4/mmm (No. 123), with a = 3.867 Å, b = 3.867 Å, c = 9.167 Å, α = 90.00°, β = 90.00° and γ = 90.00°. The distinct sites, in fractional coordinates, are Er at (0.000, 0.000, 0.242), Tm at (0.500, 0.500, 0.000), Tm at (0.500, 0.500, 0.500), O at (0.000, 0.000, 0.500) and O at (0.000, 0.500, 0.144).

Its distance to the lowest polymorph of the same formula is 0 meV per atom.



5.
Below is crystalline YHo2Al3CuGe2 at its relaxed geometry, with properties calculated at the PBE level.

It has space group Amm2 (No. 38), with a = 4.161 Å, b = 12.126 Å, c = 7.000 Å, α = 90.00°, β = 90.00° and γ = 90.00°. The distinct sites, in fractional coordinates, are Y at (0.000, 0.000, 0.000), Ho at (0.000, 0.201, 0.395), Al at (0.500, 0.000, 0.365), Al at (0.500, 0.116, 0.713), Cu at (0.000, 0.000, 0.597) and Ge at (0.500, 0.167, 0.097).



6.
Below is crystalline CdPd3 at its relaxed geometry, with properties calculated at the PBE level.

It has space group I4/mmm (No. 139), with a = 4.046 Å, b = 4.046 Å, c = 8.012 Å, α = 90.00°, β = 90.00° and γ = 90.00°. The distinct sites, in fractional coordinates, are Cd at (0.000, 0.000, 0.000), Pd at (0.000, 0.000, 0.500) and Pd at (0.000, 0.500, 0.250).

For the calculated formation energy, the calculation gives -106.7 kJ/mol of formula units.



Summary of raw total energy in eV/atom
-4.787, -8.442, -5.083, -7.669, -5.087, -4.382
(order as listed above)